# SnH5CI3N2

A relaxed SnH5CI3N2 crystal (PBE, the Alexandria database).

a = 6.567 Å, b = 6.382 Å, c = 6.382 Å
α = 87.15°, β = 90.00°, γ = 90.00°
Fractional coordinates of all 12 atoms:
Sn 0.000 0.000 0.000
H 0.194 0.485 0.485
H 0.310 0.656 0.656
H 0.500 0.362 0.362
H 0.690 0.656 0.656
H 0.806 0.485 0.485
C 0.500 0.480 0.480
I 0.000 0.045 0.525
I 0.000 0.525 0.045
I 0.500 0.978 0.978
N 0.323 0.546 0.546
N 0.677 0.546 0.546

Computed properties:
Calculated total energy   -55.51 eV for the cell shown
Crystal system   orthorhombic
V   267 Å³ per cell
Space group   Amm2